(1)
{
  "formula": "GaCuCl2",
  "functional": "PBE",
  "state": "relaxed",
  "crystal_system": "tetragonal",
  "m_tot_mub_per_fu": 0.000,
  "formation_energy_uncorrected_mev_per_atom": -505.1,
  "polymorph_energy_mev_per_atom": 0,
  "spacegroup": "I-42d, No. 122",
  "total_energy_ry_per_atom": -0.2359,
  "lattice_angstrom": [[-3.841, 3.301, -4.790], [-5.539, -3.830, 1.801], [-5.666, 2.370, 1.104]],
  "species": ["Cl", "Cl", "Cl", "Cl", "Ga", "Ga", "Cu", "Cu"],
  "fractional_positions": [[0.375, 0.447, 0.750], [0.197, 0.625, 0.250], [0.875, 0.803, 0.750], [0.553, 0.125, 0.250], [0.750, 0.250, 0.500], [0.000, 0.000, 0.000], [0.500, 0.500, 0.000], [0.250, 0.750, 0.500]]
}



(2)
{
  "formula": "TmCdHg",
  "functional": "PBE",
  "state": "relaxed",
  "crystal_system": "tetragonal",
  "m_tot_mub_per_fu": 0.001,
  "spacegroup": "P4/nmm, No. 129",
  "e_form_ev_per_atom": -0.1872,
  "total_energy_ry_per_atom": -0.1531,
  "lattice_angstrom": [[3.560, 0.000, -0.228], [-0.001, 3.568, -0.007], [0.744, 0.023, 11.613]],
  "species": ["Cd", "Cd", "Hg", "Hg", "Tm", "Tm"],
  "fractional_positions": [[0.373, 0.791, 0.677], [0.873, 0.291, 0.835], [0.872, 0.291, 0.521], [0.372, 0.791, 0.992], [0.872, 0.291, 0.153], [0.372, 0.791, 0.359]]
}



(3)
{
  "formula": "MnVReIr",
  "functional": "PBE",
  "state": "relaxed",
  "crystal_system": "cubic",
  "m_tot_mub_per_fu": 3.706,
  "spacegroup": "F-43m, No. 216",
  "e_form_ev_per_atom": -0.2090,
  "total_energy_ry_per_atom": -0.7429,
  "lattice_angstrom": [[-0.493, 4.149, 0.937], [-1.221, 2.752, -3.045], [-3.921, 1.718, 0.114]],
  "species": ["Re", "V", "Mn", "Ir"],
  "fractional_positions": [[0.500, 0.500, 0.500], [0.750, 0.750, 0.750], [0.250, 0.250, 0.250], [0.000, 0.000, 0.000]]
}



(4)
{
  "formula": "Ba3In6GePb2",
  "functional": "PBE",
  "state": "relaxed",
  "crystal_system": "trigonal",
  "m_tot_mub_per_fu": 0.000,
  "spacegroup": "P-3m1, No. 164",
  "e_form_ev_per_atom": -0.1617,
  "total_energy_ry_per_atom": -0.2216,
  "lattice_angstrom": [[-0.193, 5.018, -4.951], [-5.685, -1.242, 3.985], [3.124, 6.522, 6.488]],
  "species": ["In", "In", "In", "In", "In", "In", "Ba", "Ba", "Ba", "Pb", "Pb", "Ge"],
  "fractional_positions": [[0.375, 0.187, 0.674], [0.813, 0.625, 0.674], [0.187, 0.813, 0.326], [0.625, 0.813, 0.326], [0.187, 0.375, 0.326], [0.813, 0.187, 0.674], [0.667, 0.333, 0.321], [0.333, 0.667, 0.679], [0.000, 0.000, 0.000], [0.333, 0.667, 0.044], [0.667, 0.333, 0.956], [0.000, 0.000, 0.500]]
}